Entry 1:
DFT (PBE) results for a relaxed structure of PmTmNO.

Unit cell a=8.111 b=6.686 c=4.949 alpha=90.00 beta=90.00 gamma=90.00
Element x y z (fractional)
Pm: 0.126 0.068 0.250
Pm: 0.126 0.432 0.750
Pm: 0.874 0.568 0.250
Pm: 0.874 0.932 0.750
Tm: 0.378 0.586 0.250
Tm: 0.378 0.914 0.750
Tm: 0.622 0.086 0.250
Tm: 0.622 0.414 0.750
N: 0.384 0.580 0.750
N: 0.384 0.920 0.250
N: 0.616 0.080 0.750
N: 0.616 0.420 0.250
O: 0.146 0.087 0.750
O: 0.146 0.413 0.250
O: 0.854 0.587 0.750
O: 0.854 0.913 0.250

Values from the calculation:
The space group is Pbcm. The energy above the most stable polymorph in this dataset comes out at 12.7 meV/atom.

---

Entry 2:
DFT (PBE) results for a relaxed structure of Ho2ErGa3CuGe2.

Unit cell a=4.125 b=7.011 c=7.011 alpha=119.94 beta=90.00 gamma=90.00
Element x y z (fractional)
Ho: 0.000 0.201 0.799
Ho: 0.000 0.799 0.201
Er: 0.000 0.602 0.602
Ga: 0.500 0.201 0.436
Ga: 0.500 0.436 0.201
Ga: 0.500 0.965 0.965
Cu: 0.000 0.202 0.202
Ge: 0.500 0.534 0.867
Ge: 0.500 0.867 0.534

Values from the calculation:
The space group is Amm2.

---

Entry 3:
DFT (PBE) results for a relaxed structure of Mg2GeIr2.

Unit cell a=5.251 b=5.251 c=5.251 alpha=136.47 beta=115.96 gamma=80.64
Element x y z (fractional)
Mg: 0.199 0.199 0.000
Mg: 0.801 0.801 0.000
Ge: 0.500 0.000 0.500
Ir: 0.233 0.500 0.733
Ir: 0.767 0.500 0.267

Values from the calculation:
The space group is Immm. The energy above the most stable polymorph in this dataset comes out at 0.0 meV/atom.

---

Respective calculated density values: 8.5; 8.6; 9.7 g/cm3.
Respective total energy values: -7.812; -4.617; -5.531 eV/atom.